# AcCdInSb

AcCdInSb after structural relaxation (PBE, the Alexandria database). Values from VASP.

Computed properties:
D(E_F) ... 0.83 states/eV per atom
Total magnetic moment ... 0.000 μB per atom
DFT total energy ... -53.2 eV/cell
Space group ... F-43m, No. 216

```
&SYSTEM
  ibrav = 0, nat = 16, ntyp = 4
/
ATOMIC_SPECIES
Ac 227.00 Ac.upf
Cd 112.41 Cd.upf
In 114.82 In.upf
Sb 121.76 Sb.upf
CELL_PARAMETERS angstrom
7.8937 0.0000 0.0000
0.0000 7.8937 0.0000
0.0000 0.0000 7.8937
ATOMIC_POSITIONS angstrom
Ac 0.0000 0.0000 0.0000
Ac 0.0000 3.9469 3.9469
Ac 3.9469 0.0000 3.9469
Ac 3.9469 3.9469 0.0000
Cd 1.9734 1.9734 1.9734
Cd 1.9734 5.9203 5.9203
Cd 5.9203 1.9734 5.9203
Cd 5.9203 5.9203 1.9734
In 0.0000 0.0000 3.9469
In 0.0000 3.9469 0.0000
In 3.9469 0.0000 0.0000
In 3.9469 3.9469 3.9469
Sb 1.9734 1.9734 5.9203
Sb 1.9734 5.9203 1.9734
Sb 5.9203 1.9734 1.9734
Sb 5.9203 5.9203 5.9203
```